Here is TcW5 after structural relaxation from Alexandria via LeMat-Bulk. Energies are from PBE-GGA.

```
data_TcW5
_cell_length_a 5.1535
_cell_length_b 5.1535
_cell_length_c 4.6028
_cell_angle_alpha 90.00
_cell_angle_beta 90.00
_cell_angle_gamma 120.00
_symmetry_space_group_name_H-M 'P 6/m m m'
_symmetry_Int_Tables_number 191
_symmetry_space_group_name_Hall '-P 6 2'
loop_
_atom_site_label
_atom_site_fract_x
_atom_site_fract_y
_atom_site_fract_z
Tc1 0.0000 0.0000 0.0000
W1 0.0000 0.5000 0.5000
W2 0.3333 0.6667 0.0000
```

E above lowest polymorph ... 17.30 kcal/mol of atoms
Calculated formation energy ... 448 kJ/mol of formula units



Here is Ac4ZnCu3O12 after structural relaxation from Alexandria via LeMat-Bulk. Energies are from PBE-GGA.

```
data_Ac4ZnCu3O12
_cell_length_a 7.9154
_cell_length_b 7.9154
_cell_length_c 7.9154
_cell_angle_alpha 90.00
_cell_angle_beta 90.00
_cell_angle_gamma 90.00
_symmetry_space_group_name_H-M 'I m -3 m'
_symmetry_Int_Tables_number 229
_symmetry_space_group_name_Hall '-I 4 2 3'
loop_
_atom_site_label
_atom_site_fract_x
_atom_site_fract_y
_atom_site_fract_z
Ac1 0.2500 0.2500 0.2500
Zn1 0.0000 0.0000 0.0000
Cu1 0.0000 0.0000 0.5000
O1 0.0000 0.0000 0.2570
O2 0.0000 0.2500 0.5000
```

Calculated total energy ... -130.6 eV per formula unit



Here is GdLuPt2 after structural relaxation from Alexandria via LeMat-Bulk. Energies are from PBE-GGA.

```
data_GdLuPt2
_cell_length_a 6.9554
_cell_length_b 6.9554
_cell_length_c 6.9554
_cell_angle_alpha 90.00
_cell_angle_beta 90.00
_cell_angle_gamma 90.00
_symmetry_space_group_name_H-M 'F m -3 m'
_symmetry_Int_Tables_number 225
_symmetry_space_group_name_Hall '-F 4 2 3'
loop_
_atom_site_label
_atom_site_fract_x
_atom_site_fract_y
_atom_site_fract_z
Gd1 0.0000 0.0000 0.0000
Lu1 0.0000 0.0000 0.5000
Pt1 0.2500 0.2500 0.2500
```

E above lowest polymorph ... 0.10 kcal/mol of atoms
Calculated formation energy ... -472 kJ/mol of formula units



Here is Ba2CeRh3O12 after structural relaxation from Alexandria via LeMat-Bulk. Energies are from PBE-GGA.

```
data_Ba2CeRh3O12
_cell_length_a 7.2991
_cell_length_b 7.2991
_cell_length_c 16.8439
_cell_angle_alpha 90.00
_cell_angle_beta 90.00
_cell_angle_gamma 120.00
_symmetry_space_group_name_H-M 'R -3 m'
_symmetry_Int_Tables_number 166
_symmetry_space_group_name_Hall '-R 3 2"'
loop_
_atom_site_label
_atom_site_fract_x
_atom_site_fract_y
_atom_site_fract_z
Ba1 0.0000 0.0000 0.1137
Ce1 0.0000 0.0000 0.5000
Rh1 0.0000 0.5000 0.0000
O1 0.0040 0.5020 0.8840
O2 0.0567 0.5284 0.3290
```

Calculated total energy ... -117.6 eV per formula unit



Here is TaTe2Os after structural relaxation from Alexandria via LeMat-Bulk. Energies are from PBE-GGA.

```
data_TaTe2Os
_cell_length_a 3.1287
_cell_length_b 3.1287
_cell_length_c 9.2063
_cell_angle_alpha 90.00
_cell_angle_beta 90.00
_cell_angle_gamma 90.00
_symmetry_space_group_name_H-M 'P 4 m m'
_symmetry_Int_Tables_number 99
loop_
_symmetry_equiv_pos_as_xyz
'x,y,z'
'-y,x,z'
'-x,-y,z'
'y,-x,z'
'-x,y,z'
'y,x,z'
'x,-y,z'
'-y,-x,z'
loop_
_atom_site_label
_atom_site_fract_x
_atom_site_fract_y
_atom_site_fract_z
Ta1 0.0000 0.0000 0.0000
Te1 0.0000 0.0000 0.6180
Te2 0.5000 0.5000 0.2143
Os1 0.5000 0.5000 0.8020
```

E above lowest polymorph ... 3.47 kcal/mol of atoms



Here is Cd3Pt after structural relaxation from Alexandria via LeMat-Bulk. Energies are from PBE-GGA.

```
data_Cd3Pt
_cell_length_a 4.2496
_cell_length_b 4.2496
_cell_length_c 16.9225
_cell_angle_alpha 90.00
_cell_angle_beta 90.00
_cell_angle_gamma 90.00
_symmetry_space_group_name_H-M 'I 4/m m m'
_symmetry_Int_Tables_number 139
_symmetry_space_group_name_Hall '-I 4 2'
loop_
_atom_site_label
_atom_site_fract_x
_atom_site_fract_y
_atom_site_fract_z
Cd1 0.0000 0.0000 0.1244
Cd2 0.0000 0.5000 0.0000
Cd3 0.0000 0.5000 0.2500
Pt1 0.0000 0.0000 0.3735
```

Calculated formation energy ... -75 kJ/mol of formula units



Values of total magnetization, in order: 0.000 0.000 28.539 0.000 0.000 0.000, all in μB per cell.